ZrB2Se6 | PBE | relaxed

Properties
Uncorrected formation energy ... -0.32 eV per atom
Fermi-level density of states ... 0.091 states/eV/atom
Space group ... C2/c, No. 15
Density ... 4569 kg/m³

Lattice parameters (Å, degrees): 6.505 8.258 8.258 76.70 82.95 82.95
Element x y z (fractional)
Zr (0.250, 0.138, 0.862)
Zr (0.750, 0.862, 0.138)
B (0.145, 0.668, 0.801)
B (0.355, 0.199, 0.332)
B (0.855, 0.332, 0.199)
B (0.645, 0.801, 0.668)
Se (0.365, 0.739, 0.601)
Se (0.135, 0.399, 0.261)
Se (0.635, 0.261, 0.399)
Se (0.865, 0.601, 0.739)
Se (0.806, 0.900, 0.442)
Se (0.694, 0.558, 0.100)
Se (0.194, 0.100, 0.558)
Se (0.306, 0.442, 0.900)
Se (0.118, 0.823, 0.965)
Se (0.382, 0.035, 0.177)
Se (0.882, 0.177, 0.035)
Se (0.618, 0.965, 0.823)